# 1
A relaxed structure of RbAgPRu2, computed with PBE.

Results
Size of the total moment   5.05 μB per formula unit
Energy of formation   2.076 eV per atom
Volume   145 Å³ per cell
ρ   4.896 g/cm³

Unit cell a=5.028 b=5.028 c=5.722 alpha=90.00 beta=90.00 gamma=90.00
Fractional coordinates of all 5 atoms:
Rb (0.000, 0.000, 0.000)
Ag (0.000, 0.000, 0.500)
P (0.500, 0.500, 0.000)
Ru (0.000, 0.500, 0.500)
Ru (0.500, 0.000, 0.500)

=====

# 2
A relaxed structure of Pu3TeO4, computed with PBE.

Results
Raw total energy   -0.8088 Ry/atom
Size of the total moment   14.00 μB per formula unit
Volume   139 Å³ per cell
ρ   11.026 g/cm³

Unit cell a=3.914 b=3.914 c=9.081 alpha=90.00 beta=90.00 gamma=90.00
Fractional coordinates of all 8 atoms:
Pu (0.000, 0.000, 0.000)
Pu (0.500, 0.500, 0.276)
Pu (0.500, 0.500, 0.724)
Te (0.000, 0.000, 0.500)
O (0.000, 0.500, 0.152)
O (0.000, 0.500, 0.848)
O (0.500, 0.000, 0.152)
O (0.500, 0.000, 0.848)